Compound: TaCd2GeMo
Source: the Alexandria database
Functional: PBE
Structure: relaxed

Unit cell a=4.8046 b=4.8046 c=4.7730 alpha=90.00 beta=90.00 gamma=90.00
Closest atoms and distances in Å follow each position.
Sites, in units of the cell vectors:
Ta 0.0000 0.0000 0.0000  8 Cd 3.39, 4 Mo 3.40
Cd 0.0000 0.5000 0.5000  2 Ge 2.40
Cd 0.5000 0.0000 0.5000  2 Ge 2.40
Ge 0.5000 0.5000 0.5000  2 Mo 2.39, 4 Cd 2.40
Mo 0.5000 0.5000 0.0000  2 Ge 2.39

* formation enthalpy at 0 K: 7.1 eV per formula unit
* SG: P4/mmm


Compound: YSiHgH2
Source: the Alexandria database
Functional: PBE
Structure: relaxed

Unit cell a=4.0339 b=4.0339 c=5.9861 alpha=90.00 beta=90.00 gamma=90.00
Closest atoms and distances in Å follow each position.
Sites, in units of the cell vectors:
Y 0.0000 0.0000 0.0000  4 H 2.02
Si 0.0000 0.0000 0.5000  4 Hg 2.85, 2 Y 2.99
Hg 0.5000 0.5000 0.5000  4 Si 2.85
H 0.0000 0.5000 0.0000  2 Y 2.02
H 0.5000 0.0000 0.0000  2 Y 2.02

* VASP energy: -18.681 eV per formula unit
* SG: P4/mmm


Compound: Dy6Ho2Ag
Source: the Alexandria database
Functional: PBE
Structure: relaxed

Unit cell a=9.2857 b=9.2857 c=9.2857 alpha=158.03 beta=113.68 gamma=70.79
Closest atoms and distances in Å follow each position.
Sites, in units of the cell vectors:
Dy 0.0240 0.1820 0.8420  1 Ag 3.19, 7 Dy 3.21-3.54, 1 Ho 3.54
Dy 0.2680 0.5000 0.7680  2 Ag 3.25, 6 Dy 3.46-3.54, 4 Ho 3.62
Dy 0.3401 0.1820 0.1580  1 Ag 3.19, 7 Dy 3.21-3.54, 1 Ho 3.54
Dy 0.6599 0.8180 0.8420  1 Ag 3.19, 7 Dy 3.21-3.54, 1 Ho 3.54
Dy 0.7320 0.5000 0.2320  2 Ag 3.25, 6 Dy 3.46-3.54, 4 Ho 3.62
Dy 0.9760 0.8180 0.1580  1 Ag 3.19, 7 Dy 3.21-3.54, 1 Ho 3.54
Ho 0.3616 0.8616 0.5000  10 Dy 3.54-3.62, 2 Ho 3.54
Ho 0.6384 0.1384 0.5000  10 Dy 3.54-3.62, 2 Ho 3.54
Ag 0.0000 0.0000 0.0000  8 Dy 3.19-3.25, 2 Ag 3.54

* formation enthalpy at 0 K: 0.5 eV per formula unit
* SG: Immm


Compound: NdNbCuO5
Source: the Alexandria database
Functional: PBE
Structure: relaxed

Unit cell a=5.7295 b=5.7295 c=7.5991 alpha=101.96 beta=101.96 gamma=111.60
Closest atoms and distances in Å follow each position.
Sites, in units of the cell vectors:
Nd 0.1767 0.8233 0.7500  7 O 2.39-2.64
Nd 0.8233 0.1767 0.2500  7 O 2.39-2.64
Nb 0.5000 0.5000 0.0000  6 O 1.99-2.04
Nb 0.5000 0.5000 0.5000  6 O 1.99-2.04
Cu 0.1714 0.8286 0.2500  4 O 1.93-1.94
Cu 0.8286 0.1714 0.7500  4 O 1.93-1.94
O 0.1430 0.2024 0.9243  1 Cu 1.93, 1 Nb 1.99
O 0.2024 0.1430 0.4243  1 Cu 1.93, 1 Nb 1.99
O 0.2178 0.6254 0.4182  1 Cu 1.94, 1 Nb 2.04
O 0.3746 0.7822 0.0818  1 Cu 1.94, 1 Nb 2.04
O 0.4322 0.5678 0.7500  2 Nb 2.01
O 0.5678 0.4322 0.2500  2 Nb 2.01
O 0.6254 0.2178 0.9182  1 Cu 1.94, 1 Nb 2.04
O 0.7822 0.3746 0.5818  1 Cu 1.94, 1 Nb 2.04
O 0.7976 0.8570 0.5757  1 Cu 1.93, 1 Nb 1.99
O 0.8570 0.7976 0.0757  1 Cu 1.93, 1 Nb 1.99

* formation energy (no corrections): -1753 kJ/mol of formula units
* SG: C2/c


Compound: Zr3Cl
Source: the Alexandria database
Functional: PBE
Structure: relaxed

Unit cell a=3.1937 b=3.1937 c=8.7995 alpha=90.00 beta=90.00 gamma=90.00
Closest atoms and distances in Å follow each position.
Sites, in units of the cell vectors:
Zr 0.0000 0.0000 0.0000  12 Zr 3.15-3.19
Zr 0.5000 0.5000 0.2494  8 Zr 3.15-3.19, 4 Cl 3.16
Zr 0.5000 0.5000 0.7506  8 Zr 3.15-3.19, 4 Cl 3.16
Cl 0.0000 0.0000 0.5000  8 Zr 3.16, 4 Cl 3.19

* relative energy among the computed polymorphs: 61 kJ/mol of formula units
* formation energy (no corrections): -98 kJ/mol of formula units
* SG: P4/mmm


Compound: NaYFe
Source: the Alexandria database
Functional: PBE
Structure: relaxed

Unit cell a=6.7584 b=3.9022 c=12.8437 alpha=90.00 beta=90.01 gamma=90.00
Closest atoms and distances in Å follow each position.
Sites, in units of the cell vectors:
Na 0.0000 0.0000 0.0000  9 Na 3.73-3.90, 3 Y 3.82-3.83
Na 0.1670 0.5000 0.7680  9 Na 3.73-3.90, 3 Y 3.82
Na 0.5000 0.5000 0.0000  9 Na 3.73-3.90, 3 Y 3.82-3.83
Na 0.6670 0.0000 0.7680  9 Na 3.73-3.90, 3 Y 3.82
Y 0.3345 0.0000 0.2406  6 Fe 2.90-2.92
Y 0.3346 0.0000 0.5277  6 Fe 2.90-2.92
Y 0.8345 0.5000 0.2406  6 Fe 2.90-2.92
Y 0.8346 0.5000 0.5277  6 Fe 2.90-2.92
Fe 0.0012 0.0000 0.3829  3 Fe 2.25
Fe 0.1679 0.5000 0.3854  3 Fe 2.25
Fe 0.5012 0.5000 0.3829  3 Fe 2.25
Fe 0.6679 0.0000 0.3854  3 Fe 2.25

* formation enthalpy at 0 K: 0.0 eV per formula unit
* SG: Cm


Compound: AlTc2P
Source: the Alexandria database
Functional: PBE
Structure: relaxed

Unit cell a=5.9727 b=5.9727 c=5.9727 alpha=90.00 beta=90.00 gamma=90.00
Closest atoms and distances in Å follow each position.
Sites, in units of the cell vectors:
Al 0.0000 0.0000 0.0000  8 Tc 2.59
Al 0.0000 0.5000 0.5000  8 Tc 2.59
Al 0.5000 0.0000 0.5000  8 Tc 2.59
Al 0.5000 0.5000 0.0000  8 Tc 2.59
Tc 0.2500 0.2500 0.2500  4 Al 2.59, 4 P 2.59
Tc 0.2500 0.2500 0.7500  4 Al 2.59, 4 P 2.59
Tc 0.2500 0.7500 0.2500  4 Al 2.59, 4 P 2.59
Tc 0.2500 0.7500 0.7500  4 Al 2.59, 4 P 2.59
Tc 0.7500 0.2500 0.2500  4 Al 2.59, 4 P 2.59
Tc 0.7500 0.2500 0.7500  4 Al 2.59, 4 P 2.59
Tc 0.7500 0.7500 0.2500  4 Al 2.59, 4 P 2.59
Tc 0.7500 0.7500 0.7500  4 Al 2.59, 4 P 2.59
P 0.0000 0.0000 0.5000  8 Tc 2.59
P 0.0000 0.5000 0.0000  8 Tc 2.59
P 0.5000 0.0000 0.0000  8 Tc 2.59
P 0.5000 0.5000 0.5000  8 Tc 2.59

* relative energy among the computed polymorphs: 44 kJ/mol of formula units
* formation enthalpy at 0 K: -1.1 eV per formula unit
* SG: Fm-3m


Compound: PuPaCoRh
Source: the Alexandria database
Functional: PBE
Structure: relaxed

Unit cell a=6.4820 b=6.4820 c=6.4820 alpha=90.00 beta=90.00 gamma=90.00
Closest atoms and distances in Å follow each position.
Sites, in units of the cell vectors:
Pu 0.0000 0.0000 0.0000  4 Pa 2.81, 4 Rh 2.81
Pu 0.0000 0.5000 0.5000  4 Pa 2.81, 4 Rh 2.81
Pu 0.5000 0.0000 0.5000  4 Pa 2.81, 4 Rh 2.81
Pu 0.5000 0.5000 0.0000  4 Pa 2.81, 4 Rh 2.81
Pa 0.2500 0.2500 0.7500  4 Co 2.81, 4 Pu 2.81
Pa 0.2500 0.7500 0.2500  4 Co 2.81, 4 Pu 2.81
Pa 0.7500 0.2500 0.2500  4 Co 2.81, 4 Pu 2.81
Pa 0.7500 0.7500 0.7500  4 Co 2.81, 4 Pu 2.81
Co 0.0000 0.0000 0.5000  4 Pa 2.81, 4 Rh 2.81
Co 0.0000 0.5000 0.0000  4 Pa 2.81, 4 Rh 2.81
Co 0.5000 0.0000 0.0000  4 Pa 2.81, 4 Rh 2.81
Co 0.5000 0.5000 0.5000  4 Pa 2.81, 4 Rh 2.81
Rh 0.2500 0.2500 0.2500  4 Co 2.81, 4 Pu 2.81
Rh 0.2500 0.7500 0.7500  4 Co 2.81, 4 Pu 2.81
Rh 0.7500 0.2500 0.7500  4 Co 2.81, 4 Pu 2.81
Rh 0.7500 0.7500 0.2500  4 Co 2.81, 4 Pu 2.81

* formation enthalpy at 0 K: -1.6 eV per formula unit
* SG: F-43m


Computed mass density, in the same sequence as the records: 8.7; 5.4; 8.6; 5.9; 5.7; 3.3; 7.9; 15.5 g/cm3.
Computed M_tot, in the same sequence as the records: 0.4; 0.0; 0.0; 2.0; 0.0; 4.4; 0.0; 15.1 μB/cell.
Computed DOS at the Fermi energy, in the same sequence as the records: 0.88; 0.33; 1.01; 0.26; 0.78; 1.01; 0.89; 1.58 states/eV/atom.